Entry 1:
An optimized crystal structure of TiCSe2Br. Source: Alexandria, functional PBE-GGA.

Cell lengths 5.352, 5.352, 4.655 Å; angles 90.00, 90.00, 90.00 degrees
Each line ends with the local moment (μB).
Fractional positions:
1 Br 0.000 0.000 0.000  0.00
2 C 0.500 0.500 0.500  0.83
3 Se 0.500 0.000 0.000  -0.16
4 Se 0.000 0.500 0.000  -0.16
5 Ti 0.000 0.000 0.500  -0.01

Properties
* energy above the lowest structure with this stoichiometry: 1170 meV per atom
* calculated density: 3.71 Mg/m³
* uncorrected formation energy: 2.09 eV/atom
* final energy: -3.06 eV per atom
* space group: No. 123

=====

Entry 2:
An optimized crystal structure of TiCSe2Br. Source: Alexandria, functional PBE-GGA.

Cell lengths 4.401, 4.401, 4.559 Å; angles 90.00, 90.00, 90.00 degrees
Fractional positions:
1 C 0.000 0.000 0.000
2 Se 0.000 0.500 0.000
3 Se 0.500 0.000 0.000
4 Ti 0.500 0.500 0.500
5 Br 0.000 0.000 0.500

Properties
* energy above the lowest structure with this stoichiometry: 0 meV per atom
* calculated density: 5.60 Mg/m³
* uncorrected formation energy: 0.92 eV/atom
* final energy: -4.23 eV per atom
* space group: No. 123

=====

Entry 3:
An optimized crystal structure of Tl2CSeBr. Source: Alexandria, functional PBE-GGA.

Cell lengths 6.281, 3.952, 6.281 Å; angles 90.00, 90.00, 90.00 degrees
Fractional positions:
1 Tl 0.500 0.000 0.000
2 Tl 0.000 0.000 0.500
3 C 0.000 0.500 0.000
4 Se 0.500 0.500 0.500
5 Br 0.000 0.000 0.000

Properties
* energy above the lowest structure with this stoichiometry: 564 meV per atom
* calculated density: 6.17 Mg/m³
* uncorrected formation energy: 1.09 eV/atom
* final energy: -2.73 eV per atom
* space group: No. 123

=====

Entry 4:
An optimized crystal structure of Tl2CSeBr. Source: Alexandria, functional PBE-GGA.

Cell lengths 6.257, 3.790, 6.257 Å; angles 90.00, 90.00, 90.00 degrees
Fractional positions:
1 Br 0.500 0.500 0.500
2 Se 0.000 0.000 0.000
3 Tl 0.500 0.000 0.000
4 Tl 0.000 0.000 0.500
5 C 0.000 0.500 0.000

Properties
* energy above the lowest structure with this stoichiometry: 0 meV per atom
* calculated density: 6.49 Mg/m³
* uncorrected formation energy: 0.53 eV/atom
* final energy: -3.30 eV per atom
* space group: No. 123

=====

Entry 5:
An optimized crystal structure of WCSe2Br. Source: Alexandria, functional PBE-GGA.

Cell lengths 4.891, 4.891, 5.187 Å; angles 90.00, 90.00, 90.00 degrees
Each line ends with the local moment (μB).
Fractional positions:
1 W 0.000 0.000 0.000  0.66
2 Se 0.500 0.000 0.000  -0.10
3 Se 0.000 0.500 0.000  -0.10
4 C 0.500 0.500 0.500  0.95
5 Br 0.000 0.000 0.500  0.03

Properties
* energy above the lowest structure with this stoichiometry: 0 meV per atom
* calculated density: 5.80 Mg/m³
* uncorrected formation energy: 1.56 eV/atom
* final energy: -4.60 eV per atom
* space group: No. 123

=====

Entry 6:
An optimized crystal structure of WCSe2Br. Source: Alexandria, functional PBE-GGA.

Cell lengths 4.380, 4.380, 4.415 Å; angles 90.00, 90.00, 90.00 degrees
Each line ends with the local moment (μB).
Fractional positions:
1 Br 0.000 0.000 0.500  -0.05
2 Se 0.000 0.500 0.000  -0.08
3 Se 0.500 0.000 0.000  -0.08
4 W 0.500 0.500 0.500  1.95
5 C 0.000 0.000 0.000  -0.06

Properties
* energy above the lowest structure with this stoichiometry: 151 meV per atom
* calculated density: 8.50 Mg/m³
* uncorrected formation energy: 1.71 eV/atom
* final energy: -4.45 eV per atom
* space group: No. 123

=====

Entry 7:
An optimized crystal structure of WCSe2Br. Source: Alexandria, functional PBE-GGA.

Cell lengths 5.334, 4.700, 5.334 Å; angles 90.00, 90.00, 90.00 degrees
Each line ends with the local moment (μB).
Fractional positions:
1 Se 0.500 0.000 0.000  -0.12
2 Se 0.000 0.000 0.500  -0.17
3 W 0.000 0.500 0.000  -1.93
4 Br 0.000 0.000 0.000  0.05
5 C 0.500 0.500 0.500  0.80

Properties
* energy above the lowest structure with this stoichiometry: 1447 meV per atom
* calculated density: 5.38 Mg/m³
* uncorrected formation energy: 3.01 eV/atom
* final energy: -3.16 eV per atom
* space group: No. 123

=====

Entry 8:
An optimized crystal structure of YCSeBr2. Source: Alexandria, functional PBE-GGA.

Cell lengths 5.461, 5.461, 5.727 Å; angles 90.00, 90.00, 90.00 degrees
Each line ends with the local moment (μB).
Fractional positions:
1 Br 0.500 0.000 0.000  0.01
2 Br 0.000 0.500 0.000  0.01
3 C 0.500 0.500 0.500  0.41
4 Y 0.000 0.000 0.000  0.00
5 Se 0.000 0.000 0.500  0.10

Properties
* energy above the lowest structure with this stoichiometry: 261 meV per atom
* calculated density: 3.30 Mg/m³
* uncorrected formation energy: 0.52 eV/atom
* final energy: -3.98 eV per atom
* space group: No. 123

=====

Entry 9:
An optimized crystal structure of YCSeBr2. Source: Alexandria, functional PBE-GGA.

Cell lengths 4.596, 4.596, 4.843 Å; angles 90.00, 90.00, 90.00 degrees
Fractional positions:
1 C 0.000 0.000 0.000
2 Se 0.000 0.000 0.500
3 Br 0.000 0.500 0.000
4 Br 0.500 0.000 0.000
5 Y 0.500 0.500 0.500

Properties
* energy above the lowest structure with this stoichiometry: 0 meV per atom
* calculated density: 5.51 Mg/m³
* uncorrected formation energy: 0.26 eV/atom
* final energy: -4.24 eV per atom
* space group: No. 123

=====

Entry 10:
An optimized crystal structure of ZnCSeBr2. Source: Alexandria, functional PBE-GGA.

Cell lengths 5.103, 5.103, 5.138 Å; angles 90.00, 90.00, 90.00 degrees
Each line ends with the local moment (μB).
Fractional positions:
1 Br 0.500 0.000 0.000  -0.14
2 Br 0.000 0.500 0.000  -0.14
3 Zn 0.000 0.000 0.000  0.00
4 Se 0.000 0.000 0.500  -0.80
5 C 0.500 0.500 0.500  0.82

Properties
* energy above the lowest structure with this stoichiometry: 386 meV per atom
* calculated density: 3.92 Mg/m³
* uncorrected formation energy: 1.42 eV/atom
* final energy: -2.04 eV per atom
* space group: No. 123

=====

Entry 11:
An optimized crystal structure of ZnCSeBr2. Source: Alexandria, functional PBE-GGA.

Cell lengths 4.779, 4.779, 4.416 Å; angles 90.00, 90.00, 90.00 degrees
Fractional positions:
1 Se 0.000 0.000 0.500
2 Br 0.000 0.500 0.000
3 Br 0.500 0.000 0.000
4 C 0.000 0.000 0.000
5 Zn 0.500 0.500 0.500

Properties
* energy above the lowest structure with this stoichiometry: 0 meV per atom
* calculated density: 5.21 Mg/m³
* uncorrected formation energy: 1.04 eV/atom
* final energy: -2.43 eV per atom
* space group: No. 123

=====

Entry 12:
An optimized crystal structure of ZrCSeBr2. Source: Alexandria, functional PBE-GGA.

Cell lengths 4.520, 4.520, 4.685 Å; angles 90.00, 90.00, 90.00 degrees
Each line ends with the local moment (μB).
Fractional positions:
1 Br 0.000 0.500 0.000  -0.03
2 Br 0.500 0.000 0.000  -0.03
3 Zr 0.500 0.500 0.500  0.89
4 C 0.000 0.000 0.000  -0.04
5 Se 0.000 0.000 0.500  -0.07

Properties
* energy above the lowest structure with this stoichiometry: 161 meV per atom
* calculated density: 5.93 Mg/m³
* uncorrected formation energy: 0.84 eV/atom
* final energy: -4.08 eV per atom
* space group: No. 123

=====

Entry 13:
An optimized crystal structure of ZrCSe2Br. Source: Alexandria, functional PBE-GGA.

Cell lengths 5.224, 5.224, 5.329 Å; angles 90.00, 90.00, 90.00 degrees
Each line ends with the local moment (μB).
Fractional positions:
1 Br 0.000 0.000 0.500  0.00
2 C 0.500 0.500 0.500  0.90
3 Se 0.000 0.500 0.000  -0.13
4 Se 0.500 0.000 0.000  -0.13
5 Zr 0.000 0.000 0.000  0.04

Properties
* energy above the lowest structure with this stoichiometry: 150 meV per atom
* calculated density: 3.89 Mg/m³
* uncorrected formation energy: 0.84 eV/atom
* final energy: -4.44 eV per atom
* space group: No. 123

=====

Entry 14:
An optimized crystal structure of ZrCSeBr2. Source: Alexandria, functional PBE-GGA.

Cell lengths 5.363, 5.363, 5.183 Å; angles 90.00, 90.00, 90.00 degrees
Each line ends with the local moment (μB).
Fractional positions:
1 Se 0.000 0.000 0.500  -0.07
2 Br 0.000 0.500 0.000  0.00
3 Br 0.500 0.000 0.000  0.00
4 C 0.500 0.500 0.500  0.97
5 Zr 0.000 0.000 0.000  0.06

Properties
* energy above the lowest structure with this stoichiometry: 0 meV per atom
* calculated density: 3.81 Mg/m³
* uncorrected formation energy: 0.68 eV/atom
* final energy: -4.24 eV per atom
* space group: No. 123